1.
Compound: Ba2RuRhS
Source: Alexandria
Functional: PBE
Structure: relaxed

a b c (Å): 5.9254 5.9254 4.5423
angles (deg): 90.00 90.00 90.00
Closest atoms and distances in Å follow each position.
Fractional positions:
Ba 0.0000 0.5000 0.0000  2 Ru 2.96
Ba 0.5000 0.0000 0.0000  2 Ru 2.96
Ru 0.0000 0.0000 0.0000  2 Rh 2.27
Rh 0.0000 0.0000 0.5000  2 Ru 2.27
S 0.5000 0.5000 0.5000  8 Ba 3.73

## Properties
Its size of the total moment is 0.0 μB/f.u. The value obtained for the uncorrected formation energy is -13 kJ/mol of formula units. The total energy is -4.947 eV/atom.

2.
Compound: BaSi2RuRh
Source: Alexandria
Functional: PBE
Structure: relaxed

a b c (Å): 4.5381 4.5381 5.9228
angles (deg): 90.00 90.00 90.00
Closest atoms and distances in Å follow each position.
Fractional positions:
Ba 0.0000 0.0000 0.0000  2 Ru 2.96, 4 Rh 3.21
Si 0.0000 0.5000 0.5000  2 Ru 2.27
Si 0.5000 0.0000 0.5000  2 Ru 2.27
Ru 0.0000 0.0000 0.5000  4 Si 2.27
Rh 0.5000 0.5000 0.0000  4 Ba 3.21

## Properties
Its size of the total moment is 0.0 μB/f.u. The value obtained for the uncorrected formation energy is 221 kJ/mol of formula units. The total energy is -5.421 eV/atom.

3.
Compound: Ba2SnRuRh
Source: Alexandria
Functional: PBE
Structure: relaxed

a b c (Å): 6.4777 6.4777 4.8878
angles (deg): 90.00 90.00 90.00
Closest atoms and distances in Å follow each position.
Fractional positions:
Ba 0.0000 0.5000 0.0000  2 Sn 3.24
Ba 0.5000 0.0000 0.0000  2 Sn 3.24
Sn 0.0000 0.0000 0.0000  2 Ru 2.44
Ru 0.0000 0.0000 0.5000  2 Sn 2.44
Rh 0.5000 0.5000 0.5000  8 Ba 4.06

## Properties
Its size of the total moment is 2.1 μB/f.u. The formation enthalpy at 0 K is 0.89 eV/atom. The total energy is -4.010 eV/atom.

4.
Compound: BaRhS
Source: Alexandria
Functional: PBE
Structure: relaxed

a b c (Å): 11.0227 4.0260 4.0260
angles (deg): 59.62 90.00 90.00
Closest atoms and distances in Å follow each position.
Fractional positions:
Ba 0.1973 0.0000 0.0000  3 S 2.98-3.08, 3 Rh 3.18
Ba 0.8027 0.0000 0.0000  3 S 2.98-3.08, 3 Rh 3.18
Rh 0.0000 0.6674 0.6674  6 Ba 3.18
Rh 0.5000 0.5808 0.5808  2 S 2.28
S 0.3765 0.3197 0.3197  1 Rh 2.28
S 0.6235 0.3197 0.3197  1 Rh 2.28

## Properties
Its size of the total moment is 0.0 μB/f.u. The value obtained for the uncorrected formation energy is -79 kJ/mol of formula units. The total energy is -4.739 eV/atom.

5.
Compound: Ba6Rh2S
Source: Alexandria
Functional: PBE
Structure: relaxed

a b c (Å): 8.9648 8.9648 8.9648
angles (deg): 51.85 51.85 51.85
Closest atoms and distances in Å follow each position.
Fractional positions:
Ba 0.0968 0.7136 0.4199  2 Rh 3.07-3.15, 1 S 3.19
Ba 0.2864 0.5801 0.9032  2 Rh 3.07-3.15, 1 S 3.19
Ba 0.4199 0.0968 0.7136  2 Rh 3.07-3.15, 1 S 3.19
Ba 0.5801 0.9032 0.2864  2 Rh 3.07-3.15, 1 S 3.19
Ba 0.7136 0.4199 0.0968  2 Rh 3.07-3.15, 1 S 3.19
Ba 0.9032 0.2864 0.5801  2 Rh 3.07-3.15, 1 S 3.19
Rh 0.3229 0.3229 0.3229  6 Ba 3.07-3.15
Rh 0.6771 0.6771 0.6771  6 Ba 3.07-3.15
S 0.5000 0.5000 0.5000  6 Ba 3.19

## Properties
Its size of the total moment is 0.3 μB/f.u. The value obtained for the uncorrected formation energy is -440 kJ/mol of formula units. The total energy is -3.881 eV/atom.

6.
Compound: BaRh6S8
Source: Alexandria
Functional: PBE
Structure: relaxed

a b c (Å): 6.5811 6.5811 6.5811
angles (deg): 89.19 89.19 89.19
Closest atoms and distances in Å follow each position.
Fractional positions:
Ba 0.0000 0.0000 0.0000  8 S 3.01-3.22
Rh 0.1904 0.5725 0.4042  5 S 2.31-2.48
Rh 0.4042 0.1904 0.5725  5 S 2.31-2.48
Rh 0.4275 0.5958 0.8096  5 S 2.31-2.48
Rh 0.5725 0.4042 0.1904  5 S 2.31-2.48
Rh 0.5958 0.8096 0.4275  5 S 2.31-2.48
Rh 0.8096 0.4275 0.5958  5 S 2.31-2.48
S 0.1418 0.3863 0.7305  4 Rh 2.38-2.48
S 0.2601 0.2601 0.2601  3 Rh 2.31
S 0.2695 0.8582 0.6137  4 Rh 2.38-2.48
S 0.3863 0.7305 0.1418  4 Rh 2.38-2.48
S 0.6137 0.2695 0.8582  4 Rh 2.38-2.48
S 0.7305 0.1418 0.3863  4 Rh 2.38-2.48
S 0.7399 0.7399 0.7399  3 Rh 2.31
S 0.8582 0.6137 0.2695  4 Rh 2.38-2.48

## Properties
Its size of the total moment is 0.0 μB/f.u. The value obtained for the uncorrected formation energy is -844 kJ/mol of formula units. The total energy is -5.853 eV/atom.

7.
Compound: Ba12Rh3S5
Source: Alexandria
Functional: PBE
Structure: relaxed

a b c (Å): 16.2833 16.2833 16.2833
angles (deg): 109.47 109.47 109.47
Closest atoms and distances in Å follow each position.
Fractional positions:
Ba 0.0452 0.2163 0.1393  2 S 2.95-3.15
Ba 0.0452 0.3288 0.9059  2 S 2.95-3.15
Ba 0.0771 0.7163 0.6712  2 S 2.95-3.15
Ba 0.0771 0.8607 0.4059  2 S 2.95-3.15
Ba 0.0941 0.6393 0.4229  2 S 2.95-3.15
Ba 0.0941 0.9548 0.6712  2 S 2.95-3.15
Ba 0.1393 0.0452 0.2163  2 S 2.95-3.15
Ba 0.1393 0.5941 0.9229  2 S 2.95-3.15
Ba 0.1712 0.2163 0.5771  2 S 2.95-3.15
Ba 0.1712 0.4548 0.5941  2 S 2.95-3.15
Ba 0.2163 0.1393 0.0452  2 S 2.95-3.15
Ba 0.2163 0.5771 0.1712  2 S 2.95-3.15
Ba 0.2837 0.3288 0.9229  2 S 2.95-3.15
Ba 0.2837 0.4548 0.3607  2 S 2.95-3.15
Ba 0.3288 0.9059 0.0452  2 S 2.95-3.15
Ba 0.3288 0.9229 0.2837  2 S 2.95-3.15
Ba 0.3607 0.2837 0.4548  2 S 2.95-3.15
Ba 0.3607 0.5771 0.9059  2 S 2.95-3.15
Ba 0.4059 0.0771 0.8607  2 S 2.95-3.15
Ba 0.4059 0.8288 0.5452  2 S 2.95-3.15
Ba 0.4229 0.0941 0.6393  2 S 2.95-3.15
Ba 0.4229 0.8288 0.7837  2 S 2.95-3.15
Ba 0.4548 0.3607 0.2837  2 S 2.95-3.15
Ba 0.4548 0.5941 0.1712  2 S 2.95-3.15
Ba 0.5452 0.4059 0.8288  2 S 2.95-3.15
Ba 0.5452 0.6393 0.7163  2 S 2.95-3.15
Ba 0.5771 0.1712 0.2163  2 S 2.95-3.15
Ba 0.5771 0.9059 0.3607  2 S 2.95-3.15
Ba 0.5941 0.1712 0.4548  2 S 2.95-3.15
Ba 0.5941 0.9229 0.1393  2 S 2.95-3.15
Ba 0.6393 0.4229 0.0941  2 S 2.95-3.15
Ba 0.6393 0.7163 0.5452  2 S 2.95-3.15
Ba 0.6712 0.0771 0.7163  2 S 2.95-3.15
Ba 0.6712 0.0941 0.9548  2 S 2.95-3.15
Ba 0.7163 0.5452 0.6393  2 S 2.95-3.15
Ba 0.7163 0.6712 0.0771  2 S 2.95-3.15
Ba 0.7837 0.4229 0.8288  2 S 2.95-3.15
Ba 0.7837 0.8607 0.9548  2 S 2.95-3.15
Ba 0.8288 0.5452 0.4059  2 S 2.95-3.15
Ba 0.8288 0.7837 0.4229  2 S 2.95-3.15
Ba 0.8607 0.4059 0.0771  2 S 2.95-3.15
Ba 0.8607 0.9548 0.7837  2 S 2.95-3.15
Ba 0.9059 0.0452 0.3288  2 S 2.95-3.15
Ba 0.9059 0.3607 0.5771  2 S 2.95-3.15
Ba 0.9229 0.1393 0.5941  2 S 2.95-3.15
Ba 0.9229 0.2837 0.3288  2 S 2.95-3.15
Ba 0.9548 0.6712 0.0941  2 S 2.95-3.15
Ba 0.9548 0.7837 0.8607  2 S 2.95-3.15
Rh 0.1250 0.2500 0.3750  8 Ba 3.39-3.61
Rh 0.1250 0.3750 0.7500  8 Ba 3.39-3.61
Rh 0.2500 0.3750 0.1250  8 Ba 3.39-3.61
Rh 0.2500 0.8750 0.6250  8 Ba 3.39-3.61
Rh 0.3750 0.1250 0.2500  8 Ba 3.39-3.61
Rh 0.3750 0.7500 0.1250  8 Ba 3.39-3.61
Rh 0.6250 0.2500 0.8750  8 Ba 3.39-3.61
Rh 0.6250 0.8750 0.7500  8 Ba 3.39-3.61
Rh 0.7500 0.1250 0.3750  8 Ba 3.39-3.61
Rh 0.7500 0.6250 0.8750  8 Ba 3.39-3.61
Rh 0.8750 0.6250 0.2500  8 Ba 3.39-3.61
Rh 0.8750 0.7500 0.6250  8 Ba 3.39-3.61
S 0.0000 0.0000 0.0000  6 Ba 3.15
S 0.0000 0.0000 0.5000  6 Ba 3.15
S 0.0000 0.5000 0.0000  6 Ba 3.15
S 0.0000 0.5000 0.5000  6 Ba 3.15
S 0.1250 0.7500 0.8750  4 Ba 2.95
S 0.1250 0.8750 0.2500  4 Ba 2.95
S 0.2500 0.1250 0.8750  4 Ba 2.95
S 0.2500 0.6250 0.3750  4 Ba 2.95
S 0.3750 0.2500 0.6250  4 Ba 2.95
S 0.3750 0.6250 0.7500  4 Ba 2.95
S 0.5000 0.0000 0.0000  6 Ba 3.15
S 0.5000 0.0000 0.5000  6 Ba 3.15
S 0.5000 0.5000 0.0000  6 Ba 3.15
S 0.5000 0.5000 0.5000  6 Ba 3.15
S 0.6250 0.3750 0.2500  4 Ba 2.95
S 0.6250 0.7500 0.3750  4 Ba 2.95
S 0.7500 0.3750 0.6250  4 Ba 2.95
S 0.7500 0.8750 0.1250  4 Ba 2.95
S 0.8750 0.1250 0.7500  4 Ba 2.95
S 0.8750 0.2500 0.1250  4 Ba 2.95

## Properties
Its size of the total moment is 0.0 μB/f.u. The value obtained for the uncorrected formation energy is -1681 kJ/mol of formula units. The total energy is -4.159 eV/atom.

8.
Compound: BaRh3S
Source: Alexandria
Functional: PBE
Structure: relaxed

a b c (Å): 4.6031 4.6031 4.6031
angles (deg): 90.00 90.00 90.00
Closest atoms and distances in Å follow each position.
Fractional positions:
Ba 0.0000 0.0000 0.0000  12 Rh 3.25
Rh 0.0000 0.5000 0.5000  2 S 2.30
Rh 0.5000 0.0000 0.5000  2 S 2.30
Rh 0.5000 0.5000 0.0000  2 S 2.30
S 0.5000 0.5000 0.5000  6 Rh 2.30

## Properties
Its size of the total moment is 0.0 μB/f.u. The value obtained for the uncorrected formation energy is -102 kJ/mol of formula units. The calculation puts the energy relative to the lowest polymorph listed for this composition at 0 meV per atom. The total energy is -5.832 eV/atom.

9.
Compound: BaRh3S
Source: Alexandria
Functional: PBE
Structure: relaxed

a b c (Å): 5.1370 5.1370 5.1370
angles (deg): 90.00 90.00 90.00
Closest atoms and distances in Å follow each position.
Fractional positions:
Ba 0.0000 0.0000 0.0000  6 Rh 2.57
Rh 0.0000 0.0000 0.5000  2 Ba 2.57
Rh 0.0000 0.5000 0.0000  2 Ba 2.57
Rh 0.5000 0.0000 0.0000  2 Ba 2.57
S 0.5000 0.5000 0.5000  12 Rh 3.63

## Properties
Its size of the total moment is 3.1 μB/f.u. The value obtained for the uncorrected formation energy is 961 kJ/mol of formula units. The calculation puts the energy relative to the lowest polymorph listed for this composition at 2203 meV per atom. The total energy is -3.629 eV/atom.

10.
Compound: BaRhS2
Source: Alexandria
Functional: PBE
Structure: relaxed

a b c (Å): 8.5416 8.5416 8.5416
angles (deg): 25.51 25.51 25.51
Closest atoms and distances in Å follow each position.
Fractional positions:
Ba 0.0000 0.0000 0.0000  2 S 3.04
Rh 0.5000 0.5000 0.5000  6 S 2.44
S 0.1226 0.1226 0.1226  3 Rh 2.44
S 0.8774 0.8774 0.8774  3 Rh 2.44

## Properties
Its size of the total moment is 0.0 μB/f.u. The value obtained for the uncorrected formation energy is -187 kJ/mol of formula units. The total energy is -4.867 eV/atom.

11.
Compound: BaRhS2
Source: Alexandria
Functional: PBE
Structure: relaxed

a b c (Å): 4.9851 4.9851 4.9851
angles (deg): 60.00 60.00 60.00
Closest atoms and distances in Å follow each position.
Fractional positions:
Ba 0.0000 0.0000 0.0000  8 S 3.05
Rh 0.5000 0.5000 0.5000  8 S 3.05
S 0.2500 0.2500 0.2500  4 Ba 3.05, 4 Rh 3.05
S 0.7500 0.7500 0.7500  4 Ba 3.05, 4 Rh 3.05

## Properties
Its size of the total moment is 2.6 μB/f.u. The value obtained for the uncorrected formation energy is -143 kJ/mol of formula units. The total energy is -4.754 eV/atom.

12.
Compound: Ba8Rh2S
Source: Alexandria
Functional: PBE
Structure: relaxed

a b c (Å): 9.1183 9.1183 7.7300
angles (deg): 90.10 90.10 60.04
Closest atoms and distances in Å follow each position.
Fractional positions:
Ba 0.1655 0.1655 0.7365  1 Rh 2.93, 1 S 3.19
Ba 0.1652 0.6687 0.7356  1 Rh 2.93, 1 S 3.19
Ba 0.3313 0.8348 0.2644  1 Rh 2.93, 1 S 3.19
Ba 0.3336 0.3336 0.2050  1 Rh 2.85
Ba 0.6664 0.6664 0.7950  1 Rh 2.85
Ba 0.6687 0.1652 0.7356  1 Rh 2.93, 1 S 3.19
Ba 0.8348 0.3313 0.2644  1 Rh 2.93, 1 S 3.19
Ba 0.8345 0.8345 0.2635  1 Rh 2.93, 1 S 3.19
Rh 0.3330 0.3330 0.5737  4 Ba 2.85-2.93
Rh 0.6670 0.6670 0.4263  4 Ba 2.85-2.93
S 0.0000 0.0000 0.5000  6 Ba 3.19

## Properties
Its size of the total moment is 0.0 μB/f.u. The value obtained for the uncorrected formation energy is -321 kJ/mol of formula units. The total energy is -3.412 eV/atom.

The records above give, respectively, density of states at the Fermi level values of 3.5 5.3 8.3 5.9 6.6 6.4 40.9 5.2 7.0 1.8 5.7 8.2 states/eV/cell.
The records above give, respectively, calculated density values of 5.32 5.41 4.84 5.87 4.28 5.89 4.23 8.14 5.86 4.97 5.77 3.99 g/cm3.